The following is a GGA-PBE calculation of a relaxed Li3Zr3MnS8 crystal, from Alexandria via LeMat-Bulk.

The structure in extended XYZ format:
```
15
Lattice="7.297 0.000 0.000 -3.649 6.319 -0.025 0.000 -4.192 6.204" Properties=species:S:1:pos:R:3 pbc="T T T"
Li 0.000 0.000 0.000
Li -1.824 3.160 -0.013
Li 1.824 3.160 -0.013
Zr 3.649 -2.096 3.102
Zr 1.824 1.063 3.090
Zr -1.824 1.064 3.090
Mn 0.000 -2.096 3.102
S 0.000 2.111 1.539
S 3.649 0.016 4.640
S 3.649 2.132 1.609
S 0.000 -0.005 4.570
S 5.493 -1.060 1.623
S -1.844 3.187 4.556
S 1.805 -1.060 1.623
S 1.844 3.187 4.556
```

Results
Space group = R-3m
E = -6.270 eV/atom
ΔE_f (raw) = -1.365 eV/atom
DOS(E_F) = 0.381 states/eV per atom

***

The following is a GGA-PBE calculation of a relaxed Li4Zr3MnS8 crystal, from Alexandria via LeMat-Bulk.

The structure in extended XYZ format:
```
16
Lattice="-4.053 -5.812 -1.714 5.498 -4.518 2.317 -2.612 5.047 4.566" Properties=species:S:1:pos:R:3 pbc="T T T"
Li -2.027 -2.906 -0.857
Li -3.332 -0.382 1.426
Li 0.000 0.000 0.000
Li -1.306 2.523 2.283
Zr 0.722 -5.165 0.301
Zr -0.584 -2.641 2.584
Zr 1.443 0.264 3.442
Mn 2.749 -2.259 1.158
S 0.488 0.231 5.859
S 1.802 -2.307 3.562
S -0.946 -0.057 2.430
S -1.551 -2.692 4.997
S 0.383 -2.590 0.172
S -0.221 -5.226 2.739
S -2.969 -2.975 1.606
S -1.655 -5.514 -0.690
```

Results
Space group = R-3m
E = -6.106 eV/atom
ΔE_f (raw) = -1.388 eV/atom
DOS(E_F) = 0.312 states/eV per atom

***

The following is a GGA-PBE calculation of a relaxed Li2MnSb crystal, from Alexandria via LeMat-Bulk.

The structure in extended XYZ format:
```
8
Lattice="3.970 0.000 0.000 0.000 3.970 0.000 1.985 1.985 9.876" Properties=species:S:1:pos:R:3 pbc="T T T"
Sb 0.000 0.000 0.000
Sb 3.970 1.985 4.938
Mn 1.985 1.985 0.000
Mn 1.985 3.970 4.938
Li 2.996 0.992 2.469
Li 0.974 2.977 2.469
Li 2.977 2.959 7.407
Li 4.962 4.980 7.407
```

Results
Space group = I-42d
E = -4.256 eV/atom
ΔE_f (raw) = 0.024 eV/atom
DOS(E_F) = 0.543 states/eV per atom

***

The following is a GGA-PBE calculation of a relaxed LiMnSb2 crystal, from Alexandria via LeMat-Bulk.

The structure in extended XYZ format:
```
4
Lattice="4.621 0.000 0.000 0.000 4.626 0.000 0.000 0.000 3.903" Properties=species:S:1:pos:R:3 pbc="T T T"
Li 2.310 0.000 1.952
Mn 0.000 2.313 1.952
Sb 0.000 0.000 0.000
Sb 2.310 2.313 0.000
```

Results
Space group = P4/mmm
E = -4.860 eV/atom
ΔE_f (raw) = -0.028 eV/atom
DOS(E_F) = 0.468 states/eV per atom
Energy above the lowest structure with this stoichiometry = 0.1178 eV per atom

***

The following is a GGA-PBE calculation of a relaxed LiMn2Sb crystal, from Alexandria via LeMat-Bulk.

The structure in extended XYZ format:
```
4
Lattice="4.780 -0.010 0.001 3.209 3.544 0.001 1.580 0.699 3.479" Properties=species:S:1:pos:R:3 pbc="T T T"
Li 2.392 1.058 0.870
Mn 7.989 3.534 0.003
Mn 4.785 2.117 1.740
Sb 7.177 3.175 2.611
```

Results
Space group = I4/mmm
E = -6.072 eV/atom
ΔE_f (raw) = 0.022 eV/atom
DOS(E_F) = 0.519 states/eV per atom

***

The following is a GGA-PBE calculation of a relaxed LiMnSb2 crystal, from Alexandria via LeMat-Bulk.

The structure in extended XYZ format:
```
4
Lattice="-3.254 1.765 -1.937 -3.367 1.145 2.193 0.166 6.293 0.949" Properties=species:S:1:pos:R:3 pbc="T T T"
Li -3.215 4.630 0.607
Mn -4.256 8.217 1.117
Sb -0.352 5.130 0.760
Sb -1.694 2.121 0.272
```

Results
Space group = R3m
E = -4.978 eV/atom
ΔE_f (raw) = -0.146 eV/atom
DOS(E_F) = 0.464 states/eV per atom
Energy above the lowest structure with this stoichiometry = 0.0001 eV per atom